1.
VASP calculation (PBE) on SrMgSi4 after structural relaxation.

a = 7.628 Å, b = 7.628 Å, c = 7.628 Å
α = 90.00°, β = 90.00°, γ = 90.00°
Space group F-43m (No. 216)
One atom of each set of equivalent atoms:
Sr 0.000 0.000 0.000 (multiplicity 4)
Mg 0.250 0.250 0.750 (multiplicity 4)
Si 0.122 0.122 0.378 (multiplicity 16)

Results
crystal system: cubic
formation energy from raw total energies: 0.031 eV per atom
total magnetization: 0.00 μB/f.u.

=====

2.
VASP calculation (PBE) on Cr2BIrOs after structural relaxation.

a = 4.493 Å, b = 4.493 Å, c = 3.876 Å
α = 90.00°, β = 90.00°, γ = 90.00°
Space group P4/mmm (No. 123)
One atom of each set of equivalent atoms:
Cr 0.000 0.500 0.000 (multiplicity 2)
B 0.000 0.000 0.500 (multiplicity 1)
Ir 0.000 0.000 0.000 (multiplicity 1)
Os 0.500 0.500 0.500 (multiplicity 1)

Results
crystal system: tetragonal
energy relative to the elements: 1.741 eV/atom
total magnetization: 0.00 μB/f.u.

=====

Q: Which VASP energy values were calculated for the entries above? A: -4.130; -7.462, in eV per atom.